Here is Li2Mn2FeO6 after structural relaxation from Alexandria. Energies are from PBE with a Hubbard U.

- magnetization (Bohr magnetons per cell) = 24.0
- space group = C222_1, No. 20
- excess energy over the best structure of this formula in the dataset (meV per atom) = 27.1
- density (g/cm³) = 3.849
- calculated volume (Å³ per cell) = 238

Unit cell a=5.134 b=5.134 c=10.280 alpha=90.00 beta=90.00 gamma=118.65
Site moments in Bohr magnetons follow the coordinates.
Fractional positions:
1 O 0.404 0.919 0.846  0.03
2 O 0.081 0.596 0.654  0.03
3 O 0.919 0.404 0.154  0.03
4 O 0.257 0.400 0.350  0.00
5 O 0.939 0.788 0.361  0.11
6 O 0.212 0.061 0.139  0.11
7 O 0.596 0.081 0.346  0.03
8 O 0.061 0.212 0.861  0.11
9 O 0.400 0.257 0.650  0.00
10 O 0.788 0.939 0.639  0.11
11 O 0.743 0.600 0.850  0.00
12 O 0.600 0.743 0.150  0.00
13 Li 0.885 0.885 0.000  0.01
14 Li 0.629 0.629 0.500  0.01
15 Li 0.115 0.115 0.500  0.01
16 Li 0.371 0.371 0.000  0.01
17 Mn 0.407 0.593 0.750  3.88
18 Mn 0.080 0.920 0.750  3.23
19 Mn 0.593 0.407 0.250  3.88
20 Mn 0.920 0.080 0.250  3.23
21 Fe 0.251 0.749 0.250  4.35
22 Fe 0.749 0.251 0.750  4.35